# 1
# V14TcW

An optimized crystal structure of V14TcW (PBE, Alexandria via LeMat-Bulk).

Summary:
- Symmetry: No. 65

Unit cell a=5.2194 b=5.2194 c=8.5199 alpha=90.00 beta=90.00 gamma=109.06
Atoms (fractional coordinates):
1 V 0.1250 0.3750 0.0000
2 V 0.6250 0.3750 0.0000
3 V 0.3765 0.6235 0.2418
4 V 0.6249 0.8751 0.5000
5 V 0.1249 0.3751 0.5000
6 V 0.6250 0.8750 0.0000
7 V 0.8735 0.1265 0.2418
8 V 0.8735 0.1265 0.7582
9 V 0.3765 0.6235 0.7582
10 V 0.3730 0.1229 0.2484
11 V 0.3730 0.1229 0.7516
12 V 0.1250 0.8750 0.0000
13 V 0.8771 0.6270 0.7516
14 V 0.8771 0.6270 0.2484
15 W 0.6249 0.3751 0.5000
16 Tc 0.1249 0.8751 0.5000

---

# 2
# Th2AlPb

An optimized crystal structure of Th2AlPb (PBE, Alexandria via LeMat-Bulk).

Summary:
- Excess energy over the best structure of this formula in the dataset: 0.056 eV per atom
- Symmetry: No. 123

Unit cell a=4.5534 b=4.9509 c=4.9509 alpha=90.00 beta=90.00 gamma=90.00
Atoms (fractional coordinates):
1 Th 0.0000 0.0000 0.5000
2 Th 0.0000 0.5000 0.0000
3 Al 0.5000 0.5000 0.5000
4 Pb 0.5000 0.0000 0.0000

---

# 3
# Tb4Pr2HoTm

An optimized crystal structure of Tb4Pr2HoTm (PBE, Alexandria via LeMat-Bulk).

Summary:
- Symmetry: No. 15

Unit cell a=9.5312 b=9.5303 c=11.8500 alpha=128.44 beta=128.44 gamma=88.28
Atoms (fractional coordinates):
1 Ho 0.0000 0.5000 0.0000
2 Ho 0.0000 0.5000 0.5000
3 Tb 0.2429 0.7558 0.9978
4 Tb 0.2475 0.2520 0.4944
5 Tb 0.7525 0.7480 0.5056
6 Tb 0.2558 0.7429 0.4979
7 Tb 0.2483 0.2527 0.0058
8 Tb 0.7442 0.2571 0.5021
9 Tb 0.7571 0.2442 0.0022
10 Tb 0.7517 0.7473 0.9942
11 Pr 0.5000 0.5000 0.0000
12 Pr 0.5000 0.0000 0.5000
13 Pr 0.0000 0.0000 0.5000
14 Pr 0.5000 0.0000 0.0000
15 Tm 0.0000 0.0000 0.0000
16 Tm 0.5000 0.5000 0.5000

---

# 4
# Ce2TiGe4Rh3

An optimized crystal structure of Ce2TiGe4Rh3 (PBE, Alexandria via LeMat-Bulk).

Summary:
- Symmetry: No. 115

Unit cell a=4.1736 b=4.1736 c=10.7161 alpha=90.00 beta=90.00 gamma=90.00
Atoms (fractional coordinates):
1 Ge 0.5000 0.5000 0.0000
2 Ge 0.0000 0.0000 0.0000
3 Ge 0.5000 0.0000 0.6439
4 Ge 0.0000 0.5000 0.3561
5 Ce 0.0000 0.5000 0.7611
6 Ce 0.5000 0.0000 0.2389
7 Rh 0.0000 0.0000 0.5000
8 Rh 0.0000 0.5000 0.1259
9 Rh 0.5000 0.0000 0.8741
10 Ti 0.5000 0.5000 0.5000

---

Calculated formation energy list, top to bottom, in kJ per mole of atoms: -7.2; -21.9; 39.5; -77.3
Theoretical density list, top to bottom, in kg/m³: 7531; 10389; 7732; 8250